7
Lattice="2.464 -12.084 0.000 2.464 12.084 0.000 0.000 0.000 3.502" Properties=species:S:1:pos:R:3 comment="Sm3Y2In2 PBE-GGA relaxed" de_polymorph_ev_per_atom=0.125 sg="No. 65" pbc="T T T"
Sm 0.000 0.000 0.000
Sm 2.464 8.700 0.000
Sm 2.464 -8.700 0.000
Y 2.464 5.122 1.751
Y 2.464 -5.122 1.751
In 2.464 1.716 1.751
In 2.464 -1.716 1.751

---

5
Lattice="-2.515 2.515 4.409 2.515 -2.515 4.409 2.515 2.515 -4.409" Properties=species:S:1:pos:R:3 comment="LaGa2As2 PBE-GGA relaxed" sg="No. 139" pbc="T T T"
La 0.000 0.000 0.000
Ga 0.000 0.000 3.138
Ga 0.000 0.000 5.679
As 2.515 0.000 2.204
As 0.000 2.515 2.204

---

4
Lattice="0.000 3.313 3.313 3.313 0.000 3.313 3.313 3.313 0.000" Properties=species:S:1:pos:R:3 comment="ErCuNiPb PBE-GGA relaxed" sg="No. 216" pbc="T T T"
Er 0.000 0.000 0.000
Cu 4.970 4.970 4.970
Ni 1.657 1.657 1.657
Pb 3.313 3.313 3.313

---

3
Lattice="-1.857 1.857 6.466 1.857 -1.857 6.466 1.857 1.857 -6.466" Properties=species:S:1:pos:R:3 comment="AcYPd PBE-GGA relaxed" de_polymorph_ev_per_atom=0.080 sg="No. 107" pbc="T T T"
Ac 0.000 0.000 0.000
Y 0.000 0.000 3.502
Pd 0.000 0.000 8.532

---

6
Lattice="0.000 3.496 3.496 3.496 0.000 3.496 3.496 3.496 0.000" Properties=species:S:1:pos:R:3 comment="TaP4W PBE-GGA relaxed" sg="No. 216" pbc="T T T"
Ta 0.000 0.000 0.000
P 2.624 2.624 2.624
P 4.369 4.369 2.624
P 4.369 2.624 4.369
P 2.624 4.369 4.369
W 5.244 5.244 5.244

---

3
Lattice="4.666 0.000 0.000 -2.333 4.041 0.000 0.000 0.000 5.181" Properties=species:S:1:pos:R:3 comment="KPtPb PBE-GGA relaxed" sg="No. 156" pbc="T T T"
K 0.000 0.000 0.000
Pt 2.333 1.347 2.511
Pb 0.000 2.694 2.613

---

| no. | E_form (eV per atom) |
| --- | --- |
| 1 | -0.16 |
| 2 | -0.56 |
| 3 | -0.23 |
| 4 | -0.48 |
| 5 | 0.68 |
| 6 | -0.13 |